First-principles (PBE with a Hubbard U) data for a relaxed structure of KMnFe2F8, as listed in Alexandria via LeMat-Bulk.

Summary:
E	-5.265	eV/atom
magnetic moment	10.00	μB per formula unit
space group	P-1

abc: 4.914 4.932 6.853
angles: 89.89 89.92 87.47
Fractional coordinates of all 12 atoms:
F (0.810, 0.218, 0.194)
F (0.190, 0.782, 0.806)
F (0.615, 0.709, 0.500)
F (0.702, 0.729, 0.000)
F (0.189, 0.782, 0.194)
F (0.385, 0.291, 0.500)
F (0.298, 0.271, 0.000)
F (0.811, 0.218, 0.806)
Mn (0.000, 0.000, 0.000)
Fe (0.500, 0.500, 0.249)
Fe (0.500, 0.500, 0.751)
K (0.000, 0.000, 0.500)